# 1
## ZrAl2Ru (meta-GGA SCAN)

Data for a PBEsol-optimized structure of ZrAl2Ru.

a = 3.037 Å, b = 3.037 Å, c = 6.902 Å
α = 90.00°, β = 90.00°, γ = 90.00°
Fractional coordinates of all 4 atoms:
1 Zr 0.000 0.000 0.000
2 Al 0.500 0.500 0.301
3 Al 0.500 0.500 0.699
4 Ru 0.000 0.000 0.500

## Properties
energy of formation from the pure elements: -2.9 eV/f.u.

=====

# 2
## Zr2AlRu (meta-GGA SCAN)

Data for a PBEsol-optimized structure of Zr2AlRu.

a = 4.288 Å, b = 5.430 Å, c = 5.430 Å
α = 35.40°, β = 90.00°, γ = 90.00°
Fractional coordinates of all 4 atoms:
1 Zr 0.000 0.000 0.000
2 Zr 0.500 0.308 0.308
3 Al 0.500 0.587 0.587
4 Ru 0.000 0.745 0.745

## Properties
energy of formation from the pure elements: -2.1 eV/f.u.

=====

# 3
## Al5S8 (meta-GGA SCAN)

Data for a PBEsol-optimized structure of Al5S8.

a = 6.943 Å, b = 6.943 Å, c = 6.943 Å
α = 60.00°, β = 60.00°, γ = 60.00°
Fractional coordinates of all 13 atoms:
1 Al 0.000 0.000 0.000
2 Al 0.151 0.616 0.616
3 Al 0.616 0.151 0.616
4 Al 0.616 0.616 0.151
5 Al 0.616 0.616 0.616
6 S 0.377 0.377 0.377
7 S 0.377 0.377 0.869
8 S 0.377 0.869 0.377
9 S 0.402 0.866 0.866
10 S 0.866 0.402 0.866
11 S 0.866 0.866 0.402
12 S 0.866 0.866 0.866
13 S 0.869 0.377 0.377

## Properties
energy relative to the elements, uncorrected: -14.6 eV per formula unit

=====

# 4
## AlSb3S (meta-GGA SCAN)

Data for a PBEsol-optimized structure of AlSb3S.

a = 5.130 Å, b = 5.130 Å, c = 5.130 Å
α = 90.00°, β = 90.00°, γ = 90.00°
Fractional coordinates of all 5 atoms:
1 Al 0.000 0.000 0.000
2 Sb 0.000 0.500 0.500
3 Sb 0.500 0.000 0.500
4 Sb 0.500 0.500 0.000
5 S 0.500 0.500 0.500

## Properties
energy relative to the elements, uncorrected: 3.7 eV per formula unit

=====

# 5
## AlSb2S (meta-GGA SCAN)

Data for a PBEsol-optimized structure of AlSb2S.

a = 4.917 Å, b = 4.917 Å, c = 4.917 Å
α = 60.00°, β = 60.00°, γ = 60.00°
Fractional coordinates of all 4 atoms:
1 Al 0.000 0.000 0.000
2 Sb 0.250 0.250 0.250
3 Sb 0.750 0.750 0.750
4 S 0.500 0.500 0.500

## Properties
energy relative to the elements, uncorrected: 1.4 eV per formula unit

=====

# 6
## AlSbS2 (meta-GGA SCAN)

Data for a PBEsol-optimized structure of AlSbS2.

a = 8.256 Å, b = 8.256 Å, c = 8.256 Å
α = 24.16°, β = 24.16°, γ = 24.16°
Fractional coordinates of all 4 atoms:
1 Al 0.000 0.000 0.000
2 Sb 0.500 0.500 0.500
3 S 0.388 0.388 0.388
4 S 0.612 0.612 0.612

## Properties
energy relative to the elements, uncorrected: -3.2 eV per formula unit

=====

# 7
## AlSeS2 (meta-GGA SCAN)

Data for a PBEsol-optimized structure of AlSeS2.

a = 7.750 Å, b = 7.750 Å, c = 7.750 Å
α = 25.81°, β = 25.81°, γ = 25.81°
Fractional coordinates of all 4 atoms:
1 Al 0.000 0.000 0.000
2 Se 0.500 0.500 0.500
3 S 0.392 0.392 0.392
4 S 0.608 0.608 0.608

## Properties
energy relative to the elements, uncorrected: -2.5 eV per formula unit
ΔE to the lowest computed polymorph: 0.000 eV per atom

=====

# 8
## AlSeS2 (meta-GGA SCAN)

Data for a PBEsol-optimized structure of AlSeS2.

a = 4.497 Å, b = 4.497 Å, c = 4.497 Å
α = 60.00°, β = 60.00°, γ = 60.00°
Fractional coordinates of all 4 atoms:
1 Al 0.000 0.000 0.000
2 Se 0.500 0.500 0.500
3 S 0.250 0.250 0.250
4 S 0.750 0.750 0.750

## Properties
energy relative to the elements, uncorrected: 1.7 eV per formula unit
ΔE to the lowest computed polymorph: 1.057 eV per atom

=====

# 9
## Sm9Al5S21 (meta-GGA SCAN)

Data for a PBEsol-optimized structure of Sm9Al5S21.

a = 11.418 Å, b = 11.418 Å, c = 11.418 Å
α = 94.64°, β = 94.64°, γ = 94.64°
Fractional coordinates of all 70 atoms:
1 Sm 0.013 0.802 0.644
2 Sm 0.023 0.179 0.798
3 Sm 0.124 0.347 0.494
4 Sm 0.131 0.987 0.363
5 Sm 0.179 0.798 0.023
6 Sm 0.319 0.701 0.474
7 Sm 0.347 0.494 0.124
8 Sm 0.363 0.131 0.987
9 Sm 0.456 0.680 0.832
10 Sm 0.474 0.319 0.701
11 Sm 0.494 0.124 0.347
12 Sm 0.644 0.013 0.802
13 Sm 0.680 0.832 0.456
14 Sm 0.701 0.474 0.319
15 Sm 0.798 0.023 0.179
16 Sm 0.802 0.644 0.013
17 Sm 0.832 0.456 0.680
18 Sm 0.987 0.363 0.131
19 Al 0.104 0.104 0.104
20 Al 0.130 0.473 0.796
21 Al 0.295 0.968 0.636
22 Al 0.420 0.420 0.420
23 Al 0.473 0.796 0.130
24 Al 0.602 0.602 0.602
25 Al 0.636 0.295 0.968
26 Al 0.796 0.130 0.473
27 Al 0.922 0.922 0.922
28 Al 0.968 0.636 0.295
29 S 0.006 0.911 0.138
30 S 0.034 0.603 0.117
31 S 0.039 0.188 0.285
32 S 0.062 0.548 0.631
33 S 0.089 0.758 0.420
34 S 0.117 0.034 0.603
35 S 0.138 0.006 0.911
36 S 0.188 0.285 0.039
37 S 0.213 0.313 0.727
38 S 0.243 0.483 0.343
39 S 0.255 0.589 0.922
40 S 0.256 0.789 0.699
41 S 0.285 0.039 0.188
42 S 0.313 0.727 0.213
43 S 0.343 0.243 0.483
44 S 0.357 0.940 0.454
45 S 0.396 0.529 0.622
46 S 0.410 0.879 0.966
47 S 0.420 0.089 0.758
48 S 0.454 0.357 0.940
49 S 0.483 0.343 0.243
50 S 0.529 0.622 0.396
51 S 0.548 0.631 0.062
52 S 0.554 0.799 0.654
53 S 0.589 0.922 0.255
54 S 0.603 0.117 0.034
55 S 0.622 0.396 0.529
56 S 0.631 0.062 0.548
57 S 0.654 0.554 0.799
58 S 0.699 0.256 0.789
59 S 0.727 0.213 0.313
60 S 0.734 0.868 0.973
61 S 0.758 0.420 0.089
62 S 0.789 0.699 0.256
63 S 0.799 0.654 0.554
64 S 0.868 0.973 0.734
65 S 0.879 0.966 0.410
66 S 0.911 0.138 0.006
67 S 0.922 0.255 0.589
68 S 0.940 0.454 0.357
69 S 0.966 0.410 0.879
70 S 0.973 0.734 0.868

## Properties
energy relative to the elements, uncorrected: -70.1 eV per formula unit

=====

# 10
## Al3SnS (meta-GGA SCAN)

Data for a PBEsol-optimized structure of Al3SnS.

a = 5.163 Å, b = 5.163 Å, c = 5.163 Å
α = 90.00°, β = 90.00°, γ = 90.00°
Fractional coordinates of all 5 atoms:
1 Al 0.000 0.000 0.500
2 Al 0.000 0.500 0.000
3 Al 0.500 0.000 0.000
4 Sn 0.000 0.000 0.000
5 S 0.500 0.500 0.500

## Properties
energy relative to the elements, uncorrected: 4.5 eV per formula unit

=====

# 11
## AlSnS2 (meta-GGA SCAN)

Data for a PBEsol-optimized structure of AlSnS2.

a = 8.303 Å, b = 8.303 Å, c = 8.303 Å
α = 23.94°, β = 23.94°, γ = 23.94°
Fractional coordinates of all 4 atoms:
1 Al 0.000 0.000 0.000
2 Sn 0.500 0.500 0.500
3 S 0.388 0.388 0.388
4 S 0.612 0.612 0.612

## Properties
energy relative to the elements, uncorrected: -3.3 eV per formula unit

=====

# 12
## AlSn2TeS (meta-GGA SCAN)

Data for a PBEsol-optimized structure of AlSn2TeS.

a = 5.795 Å, b = 5.795 Å, c = 5.157 Å
α = 90.00°, β = 90.00°, γ = 90.00°
Fractional coordinates of all 5 atoms:
1 Al 0.000 0.000 0.000
2 Sn 0.000 0.500 0.500
3 Sn 0.500 0.000 0.500
4 Te 0.000 0.000 0.500
5 S 0.500 0.500 0.000

## Properties
energy relative to the elements, uncorrected: 4.8 eV per formula unit

=====

| no. | energy (eV/cell) | magnetization (μB per cell) |
| --- | --- | --- |
| 1 | -83.916 | 0.00 |
| 2 | -106.086 | 0.00 |
| 3 | -130.428 | 0.49 |
| 4 | -125.441 | 0.00 |
| 5 | -90.498 | 0.01 |
| 6 | -67.458 | 0.00 |
| 7 | -49.580 | 0.00 |
| 8 | -45.353 | 0.01 |
| 9 | -1421.971 | 0.00 |
| 10 | -64.319 | 0.00 |
| 11 | -66.270 | 0.00 |
| 12 | -121.688 | 0.00 |